1.
Density functional theory data (SCAN) for a PBEsol-optimized structure of SnP4O12.

## Properties
Formation energy (no corrections)   -214.2 kJ/mol of atoms
Space-group type   C2/c (15)
Calculated volume   445.3 Å³ per cell

Cell lengths 7.367, 7.367, 9.763 Å; angles 100.40, 107.46, 111.30 degrees
Fractional positions:
P (0.709, 0.738, 0.973)
P (0.291, 0.262, 0.027)
P (0.265, 0.736, 0.527)
P (0.512, 0.281, 0.817)
P (0.036, 0.305, 0.317)
P (0.964, 0.695, 0.683)
P (0.488, 0.719, 0.183)
P (0.735, 0.264, 0.473)
O (0.712, 0.251, 0.846)
O (0.209, 0.498, 0.468)
O (0.892, 0.746, 0.101)
O (0.502, 0.851, 0.596)
O (0.095, 0.134, 0.346)
O (0.818, 0.255, 0.343)
O (0.145, 0.790, 0.399)
O (0.010, 0.348, 0.174)
O (0.182, 0.745, 0.657)
O (0.326, 0.163, 0.674)
O (0.990, 0.652, 0.826)
O (0.469, 0.259, 0.968)
O (0.531, 0.741, 0.032)
O (0.905, 0.866, 0.654)
O (0.288, 0.749, 0.154)
O (0.755, 0.906, 0.904)
O (0.674, 0.837, 0.326)
O (0.412, 0.475, 0.157)
O (0.791, 0.502, 0.532)
O (0.498, 0.149, 0.404)
O (0.108, 0.254, 0.899)
O (0.855, 0.210, 0.601)
O (0.245, 0.094, 0.096)
O (0.588, 0.525, 0.843)
Sn (0.196, 0.946, 0.250)
Sn (0.804, 0.054, 0.750)

***

2.
Density functional theory data (SCAN) for a PBEsol-optimized structure of Ta2CrRh.

## Properties
Raw total energy   -185.945 eV/cell
Space-group type   Pmmm (47)
Calculated volume   60.6 Å³ per cell

Cell lengths 3.248, 4.167, 4.476 Å; angles 90.00, 90.00, 90.00 degrees
Last column: magnetic moment on the atom in μB.
Fractional positions:
Cr (0.500, 0.500, 0.000)  2.21
Rh (0.000, 0.500, 0.500)  0.15
Ta (0.000, 0.000, 0.000)  -0.39
Ta (0.500, 0.000, 0.500)  -0.09